Record 1
Computed, not measured: an optimized crystal structure of KSiOs2 at the PBE level of DFT.

Properties
- ρ: 10.263 g/cm3
- DOS at the Fermi energy: 0.7145 states/eV/atom
- Raw formation energy: 0.427 eV/atom

Cell lengths 2.839, 2.839, 8.986 Å; angles 90.00, 90.00, 90.00 degrees
Space group P4mm (No. 99)
One atom of each set of equivalent atoms:
1 K 0.000 0.000 0.000 x1
2 Si 0.500 0.500 0.697 x1
3 Os 0.000 0.000 0.509 x1
4 Os 0.500 0.500 0.321 x1


Record 2
Computed, not measured: an optimized crystal structure of KSi2Os at the PBE level of DFT.

Properties
- ρ: 5.337 g/cm3
- Energy above the most stable polymorph in this dataset: 152 meV per atom
- DOS at the Fermi energy: 0.4195 states/eV/atom
- Raw formation energy: 0.164 eV/atom

Cell lengths 2.943, 3.822, 7.897 Å; angles 90.00, 90.06, 90.00 degrees
Space group Pm (No. 6)
One atom of each set of equivalent atoms:
1 K 0.000 0.000 0.000 x1
2 Si 0.498 0.000 0.387 x1
3 Si 0.499 0.500 0.692 x1
4 Os 0.998 0.500 0.453 x1


Record 3
Computed, not measured: an optimized crystal structure of KSiOs2 at the PBE level of DFT.

Properties
- ρ: 9.352 g/cm3
- DOS at the Fermi energy: 0.8803 states/eV/atom
- Raw formation energy: 0.773 eV/atom

Cell lengths 2.689, 3.664, 8.147 Å; angles 90.00, 98.00, 90.00 degrees
Space group P2/m (No. 10)
One atom of each set of equivalent atoms:
1 K 0.000 0.000 0.000 x1
2 Si 0.000 0.000 0.500 x1
3 Os 0.362 0.500 0.657 x2


Record 4
Computed, not measured: an optimized crystal structure of K2SiOs at the PBE level of DFT.

Properties
- ρ: 4.330 g/cm3
- DOS at the Fermi energy: 0.3601 states/eV/atom
- Raw formation energy: 0.527 eV/atom

Cell lengths 3.512, 5.772, 11.220 Å; angles 90.00, 90.00, 90.00 degrees
Space group Imm2 (No. 44)
One atom of each set of equivalent atoms:
1 K 0.000 0.000 0.000 x2
2 K 0.000 0.500 0.198 x2
3 Si 0.000 0.000 0.421 x2
4 Os 0.000 0.500 0.794 x2


Record 5
Computed, not measured: an optimized crystal structure of KSi2Os2 at the PBE level of DFT.

Properties
- ρ: 8.711 g/cm3
- DOS at the Fermi energy: 0.8159 states/eV/atom
- Raw formation energy: 0.212 eV/atom

Cell lengths 4.243, 4.243, 10.074 Å; angles 90.00, 90.00, 90.00 degrees
Space group I4/mmm (No. 139)
One atom of each set of equivalent atoms:
1 K 0.000 0.000 0.000 x2
2 Si 0.000 0.500 0.250 x4
3 Os 0.000 0.000 0.376 x4


Record 6
Computed, not measured: an optimized crystal structure of K2Si2Os at the PBE level of DFT.

Properties
- ρ: 4.281 g/cm3
- Energy above the most stable polymorph in this dataset: 0 meV per atom
- DOS at the Fermi energy: 0.5316 states/eV/atom
- Raw formation energy: 1.050 eV/atom

Cell lengths 3.348, 3.348, 22.471 Å; angles 90.00, 90.00, 90.00 degrees
Space group I4/mmm (No. 139)
One atom of each set of equivalent atoms:
1 K 0.000 0.000 0.108 x4
2 Si 0.000 0.500 0.250 x4
3 Os 0.000 0.000 0.500 x2


Record 7
Computed, not measured: an optimized crystal structure of KSiOs2 at the PBE level of DFT.

Properties
- ρ: 10.065 g/cm3
- DOS at the Fermi energy: 0.9016 states/eV/atom
- Raw formation energy: 0.606 eV/atom

Cell lengths 2.948, 2.948, 8.495 Å; angles 90.00, 90.00, 90.00 degrees
Space group P4/mmm (No. 123)
One atom of each set of equivalent atoms:
1 K 0.000 0.000 0.000 x1
2 Si 0.000 0.000 0.500 x1
3 Os 0.500 0.500 0.341 x2


Record 8
Computed, not measured: an optimized crystal structure of K3SnOs at the PBE level of DFT.

Properties
- ρ: 3.048 g/cm3
- Energy above the most stable polymorph in this dataset: 0 meV per atom
- DFT formation energy: 6.50 eV per formula unit
- DOS at the Fermi energy: 1.0422 states/eV/atom

Cell lengths 6.146, 6.146, 6.146 Å; angles 90.00, 90.00, 90.00 degrees
Space group Pm-3m (No. 221)
One atom of each set of equivalent atoms:
1 K 0.000 0.000 0.500 x3
2 Sn 0.500 0.500 0.500 x1
3 Os 0.000 0.000 0.000 x1


Record 9
Computed, not measured: an optimized crystal structure of KSnOs2 at the PBE level of DFT.

Properties
- ρ: 8.181 g/cm3
- DFT formation energy: 4.44 eV per formula unit
- DOS at the Fermi energy: 0.8157 states/eV/atom

Cell lengths 4.808, 4.808, 18.906 Å; angles 90.00, 90.00, 90.00 degrees
Space group I-42d (No. 122)
One atom of each set of equivalent atoms:
1 K 0.000 0.000 0.000 x4
2 Sn 0.000 0.000 0.500 x4
3 Os 0.048 0.750 0.625 x8


Record 10
Computed, not measured: an optimized crystal structure of KSn3Os at the PBE level of DFT.

Properties
- ρ: 6.646 g/cm3
- Energy above the most stable polymorph in this dataset: 0 meV per atom
- DFT formation energy: 1.33 eV per formula unit
- DOS at the Fermi energy: 1.2638 states/eV/atom

Cell lengths 5.269, 5.269, 5.269 Å; angles 90.00, 90.00, 90.00 degrees
Space group Pm-3m (No. 221)
One atom of each set of equivalent atoms:
1 K 0.000 0.000 0.000 x1
2 Sn 0.000 0.500 0.500 x3
3 Os 0.500 0.500 0.500 x1


Record 11
Computed, not measured: an optimized crystal structure of KSn3Os at the PBE level of DFT.

Properties
- ρ: 5.408 g/cm3
- Energy above the most stable polymorph in this dataset: 2023 meV per atom
- DFT formation energy: 11.45 eV per formula unit
- DOS at the Fermi energy: 1.0219 states/eV/atom

Cell lengths 5.644, 5.644, 5.644 Å; angles 90.00, 90.00, 90.00 degrees
Space group Pm-3m (No. 221)
One atom of each set of equivalent atoms:
1 K 0.000 0.000 0.000 x1
2 Sn 0.000 0.000 0.500 x3
3 Os 0.500 0.500 0.500 x1


Record 12
Computed, not measured: an optimized crystal structure of K2SnOs at the PBE level of DFT.

Properties
- ρ: 6.371 g/cm3
- DFT formation energy: 4.13 eV per formula unit
- DOS at the Fermi energy: 1.0228 states/eV/atom

Cell lengths 4.097, 4.097, 24.051 Å; angles 90.00, 90.00, 90.00 degrees
Space group I-42d (No. 122)
One atom of each set of equivalent atoms:
1 K 0.244 0.250 0.125 x8
2 Sn 0.000 0.000 0.500 x4
3 Os 0.000 0.000 0.000 x4